Computed, not measured: a relaxed structure of Ba4Na3Hg at the GGA-PBE level of DFT.

Geometry as POSCAR:
```
Ba4Na3Hg
1.0
4.300 0.000 0.000
0.000 4.300 0.000
0.000 0.000 20.478
Na Ba Hg
3 4 1
Direct
0.500 0.500 0.234
0.500 0.500 0.500
0.500 0.500 0.766
0.000 0.000 0.903
0.000 0.000 0.097
0.000 0.000 0.367
0.000 0.000 0.633
0.500 0.500 0.000
```

Summary:
Its magnetization is 0.0 μB per formula unit. The calculation puts the density of states at the Fermi level at 8.2 states/eV/cell. As for the energy: -1.627 eV per atom.